Arrangement one

Mg5PdPb | PBE | optimized geometry

Fermi-level density of states   0.4200 states/eV/atom

a = 4.5673 Å, b = 4.5673 Å, c = 7.4167 Å
α = 90.00°, β = 90.00°, γ = 90.00°
Last column: nearest neighbours and their distance in Å.
Sites, in units of the cell vectors:
Mg 0.5000 0.5000 0.5000  8 Mg 3.19, 4 Pb 3.23
Mg 0.0000 0.5000 0.8009  2 Pd 2.72, 1 Mg 2.95
Mg 0.5000 0.0000 0.1991  2 Pd 2.72, 1 Mg 2.95
Mg 0.0000 0.5000 0.1991  2 Pd 2.72, 1 Mg 2.95
Mg 0.5000 0.0000 0.8009  2 Pd 2.72, 1 Mg 2.95
Pb 0.0000 0.0000 0.5000  12 Mg 3.19-3.23
Pd 0.5000 0.5000 0.0000  8 Mg 2.72



Arrangement two

Mg5PdPb | PBE | optimized geometry

Fermi-level density of states   0.3444 states/eV/atom

a = 4.5037 Å, b = 4.5037 Å, c = 7.8607 Å
α = 90.00°, β = 90.00°, γ = 90.00°
Last column: nearest neighbours and their distance in Å.
Sites, in units of the cell vectors:
Pb 0.0000 0.0000 0.0000  12 Mg 3.18-3.30
Pd 0.0000 0.0000 0.5000  8 Mg 2.72
Mg 0.0000 0.5000 0.6931  2 Pd 2.72, 1 Mg 3.04
Mg 0.5000 0.0000 0.3069  2 Pd 2.72, 1 Mg 3.04
Mg 0.5000 0.0000 0.6931  2 Pd 2.72, 1 Mg 3.04
Mg 0.0000 0.5000 0.3069  2 Pd 2.72, 1 Mg 3.04
Mg 0.5000 0.5000 0.0000  4 Pb 3.18, 8 Mg 3.30



Most stable: arrangement one (next structure +4.8 kJ/mol of atoms)



Arrangement one

MgPd2Pb2 | PBE | optimized geometry

Fermi-level density of states   0.3185 states/eV/atom

a = 8.1379 Å, b = 8.1379 Å, c = 3.3474 Å
α = 90.00°, β = 90.00°, γ = 90.00°
Last column: nearest neighbours and their distance in Å.
Sites, in units of the cell vectors:
Pd 0.3563 0.1437 0.5000  6 Pb 2.90-2.92
Pd 0.1437 0.6437 0.5000  6 Pb 2.90-2.92
Pd 0.6437 0.8563 0.5000  6 Pb 2.90-2.92
Pd 0.8563 0.3563 0.5000  6 Pb 2.90-2.92
Pb 0.6509 0.1509 0.0000  6 Pd 2.90-2.92, 2 Mg 3.10
Pb 0.8491 0.6509 0.0000  6 Pd 2.90-2.92, 2 Mg 3.10
Pb 0.3491 0.8491 0.0000  6 Pd 2.90-2.92, 2 Mg 3.10
Pb 0.1509 0.3491 0.0000  6 Pd 2.90-2.92, 2 Mg 3.10
Mg 0.0000 0.0000 0.0000  4 Pb 3.10, 2 Mg 3.35
Mg 0.5000 0.5000 0.0000  4 Pb 3.10, 2 Mg 3.35



Arrangement two

MgPd2Pb2 | PBE | optimized geometry

Fermi-level density of states   0.3841 states/eV/atom

a = 7.2146 Å, b = 7.2146 Å, c = 4.1561 Å
α = 90.00°, β = 90.00°, γ = 90.00°
Last column: nearest neighbours and their distance in Å.
Sites, in units of the cell vectors:
Mg 0.0000 0.0000 0.0000  4 Pd 2.78
Mg 0.5000 0.5000 0.0000  4 Pd 2.78
Pd 0.6415 0.1415 0.0000  2 Mg 2.78, 6 Pb 2.87-3.04, 1 Pd 2.89
Pd 0.1415 0.3585 0.0000  2 Mg 2.78, 6 Pb 2.87-3.04, 1 Pd 2.89
Pd 0.8585 0.6415 0.0000  2 Mg 2.78, 6 Pb 2.87-3.04, 1 Pd 2.89
Pd 0.3585 0.8585 0.0000  2 Mg 2.78, 6 Pb 2.87-3.04, 1 Pd 2.89
Pb 0.1643 0.6643 0.5000  6 Pd 2.87-3.04
Pb 0.6643 0.8357 0.5000  6 Pd 2.87-3.04
Pb 0.8357 0.3357 0.5000  6 Pd 2.87-3.04
Pb 0.3357 0.1643 0.5000  6 Pd 2.87-3.04



Most stable: arrangement two (next structure +16.2 kJ/mol of atoms)



Arrangement one

Mg2PdPb2 | PBE | optimized geometry

Fermi-level density of states   0.4413 states/eV/atom

a = 7.3400 Å, b = 7.3400 Å, c = 4.5230 Å
α = 90.00°, β = 90.00°, γ = 90.00°
Last column: nearest neighbours and their distance in Å.
Sites, in units of the cell vectors:
Mg 0.1588 0.6588 0.5000  6 Pb 2.99-3.21, 1 Mg 3.30
Mg 0.8412 0.3412 0.5000  6 Pb 2.99-3.21, 1 Mg 3.30
Mg 0.3412 0.1588 0.5000  6 Pb 2.99-3.21, 1 Mg 3.30
Mg 0.6588 0.8412 0.5000  6 Pb 2.99-3.21, 1 Mg 3.30
Pb 0.3478 0.8478 0.0000  2 Pd 2.79, 2 Mg 2.99
Pb 0.8478 0.6522 0.0000  2 Pd 2.79, 2 Mg 2.99
Pb 0.6522 0.1522 0.0000  2 Pd 2.79, 2 Mg 2.99
Pb 0.1522 0.3478 0.0000  2 Pd 2.79, 2 Mg 2.99
Pd 0.0000 0.0000 0.0000  4 Pb 2.79
Pd 0.5000 0.5000 0.0000  4 Pb 2.79



Arrangement two

Mg2PdPb2 | PBE | optimized geometry

Fermi-level density of states   0.2604 states/eV/atom

a = 7.0614 Å, b = 7.0614 Å, c = 4.7837 Å
α = 90.00°, β = 90.00°, γ = 90.00°
Last column: nearest neighbours and their distance in Å.
Sites, in units of the cell vectors:
Pd 0.5000 0.5000 0.0000  4 Mg 2.68
Pd 0.0000 0.0000 0.0000  4 Mg 2.68
Pb 0.6684 0.8316 0.5000  6 Mg 2.98-3.30
Pb 0.1684 0.6684 0.5000  6 Mg 2.98-3.30
Pb 0.8316 0.3316 0.5000  6 Mg 2.98-3.30
Pb 0.3316 0.1684 0.5000  6 Mg 2.98-3.30
Mg 0.6537 0.1537 0.0000  2 Pd 2.68, 2 Pb 2.98
Mg 0.1537 0.3463 0.0000  2 Pd 2.68, 2 Pb 2.98
Mg 0.3463 0.8463 0.0000  2 Pd 2.68, 2 Pb 2.98
Mg 0.8463 0.6537 0.0000  2 Pd 2.68, 2 Pb 2.98



Most stable: arrangement two (next structure +4.3 kJ/mol of atoms)